A plane-wave DFT calculation with GGA-PBE was carried out for a geometry-optimized RbTe7Au2 structure.

a = 5.1643 Å, b = 9.9267 Å, c = 9.9267 Å
α = 134.15°, β = 90.00°, γ = 90.00°
Atoms (fractional coordinates):
Au1 0.5000 0.2603 0.7397
Au2 0.5000 0.7397 0.2603
Te1 0.0000 0.8143 0.1857
Te2 0.5000 0.9007 0.6240
Te3 0.5000 0.6240 0.9007
Te4 0.0000 0.1857 0.8143
Te5 0.5000 0.3760 0.0993
Te6 0.5000 0.0993 0.3760
Te7 0.5000 0.5000 0.5000
Rb1 0.0000 0.0000 0.0000

Results
The value obtained for the formation energy (no corrections) is -0.61 eV per formula unit. The calculation puts the total magnetization at 0.000 μB/f.u. Its volume is 36.511 Å³ per atom.